A geometry-optimized NaTl2PbI5 structure, computed with PBE.

Calculated values
total energy	-48.92	eV per cell
space-group type	No. 36
energy relative to the elements, uncorrected	-772	meV/atom

Unit cell a=10.4451 b=10.4451 c=16.1100 alpha=90.00 beta=90.00 gamma=153.75
With the nearest neighbours (Å) after each atom.
Element x y z (fractional)
Na 0.0510 0.9490 0.5000  5 I 3.04-3.40
Na 0.9490 0.0510 0.0000  5 I 3.04-3.40
Tl 0.3753 0.6247 0.3432  6 I 3.51-3.84
Tl 0.4153 0.5847 0.7001  6 I 3.48-3.61
Tl 0.5847 0.4153 0.2001  6 I 3.48-3.61
Tl 0.6247 0.3753 0.8432  6 I 3.51-3.84
Pb 0.2696 0.7304 0.0841  6 I 3.24-3.32
Pb 0.7304 0.2696 0.5841  6 I 3.24-3.32
I 0.0016 0.9984 0.3219  1 Na 3.04
I 0.1133 0.8867 0.0388  1 Pb 3.26, 1 Na 3.40, 2 Tl 3.57
I 0.2066 0.7934 0.4500  2 Pb 3.25, 1 Na 3.27
I 0.2395 0.7605 0.7281  2 Pb 3.32, 1 Tl 3.61
I 0.4263 0.5737 0.1181  2 Na 3.07, 1 Pb 3.24
I 0.5737 0.4263 0.6181  2 Na 3.07, 1 Pb 3.24
I 0.7605 0.2395 0.2281  2 Pb 3.32, 1 Tl 3.61
I 0.7934 0.2066 0.9500  2 Pb 3.25, 1 Na 3.27
I 0.8867 0.1133 0.5388  1 Pb 3.26, 1 Na 3.40, 2 Tl 3.57
I 0.9984 0.0016 0.8219  1 Na 3.04